(1)
Entry from the Alexandria database: a relaxed Pm2CuNi4As3 crystal (PBE).

- ΔH_f (0 K) (eV per atom) = -0.75

a b c (Å): 4.126 4.126 9.544
angles (deg): 90.00 90.00 90.00
Fractional coordinates of all 10 atoms:
Pm  0.500  0.000  0.249
Pm  0.000  0.500  0.751
Cu  0.500  0.500  0.500
Ni  0.500  0.500  0.000
Ni  0.000  0.000  0.000
Ni  0.500  0.000  0.622
Ni  0.000  0.500  0.378
As  0.000  0.000  0.500
As  0.500  0.000  0.867
As  0.000  0.500  0.133

(2)
Entry from the Alexandria database: a relaxed MnSn2Ge crystal (PBE).

- ΔH_f (0 K) (eV per atom) = 0.48

a b c (Å): 6.601 6.601 7.108
angles (deg): 62.33 62.33 90.00
Last column: magnetic moment on the atom in μB.
Fractional coordinates of all 8 atoms:
Ge  0.000  0.000  0.000  0.01
Ge  0.750  0.250  0.500  0.01
Mn  0.500  0.500  0.000  3.64
Mn  0.250  0.750  0.500  3.64
Sn  0.628  0.125  0.250  -0.17
Sn  0.122  0.625  0.250  -0.17
Sn  0.375  0.372  0.750  -0.17
Sn  0.875  0.878  0.750  -0.17

(3)
Entry from the Alexandria database: a relaxed K2SbP crystal (PBE).

- formation energy from raw total energies (eV/atom) = -0.3164

a b c (Å): 6.854 6.854 5.699
angles (deg): 65.43 65.43 32.85
Fractional coordinates of all 4 atoms:
K  0.997  0.997  0.003
K  0.790  0.790  0.711
P  0.533  0.533  0.467
Sb  0.181  0.181  0.320

Number 1: D(E_F) 5.61 states/eV/f.u., volume 16.24 Å³ per atom, total DFT energy (no corrections) -58.1 eV for the cell shown. Number 2: D(E_F) 2.42 states/eV/f.u., volume 29.20 Å³ per atom, total DFT energy (no corrections) -39.7 eV for the cell shown. Number 3: D(E_F) 0.67 states/eV/f.u., volume 32.72 Å³ per atom, total DFT energy (no corrections) -13.0 eV for the cell shown.